No. 1
The following is a DFT calculation (PBE) of crystalline BeInRh3 at its relaxed geometry.

CIF file:
```
data_BeInRh3
_chemical_formula_sum 'Be1 In1 Rh3'
_symmetry_space_group_name_H-M 'P 1'
_symmetry_Int_Tables_number 1
_cell_length_a 4.194
_cell_length_b 4.194
_cell_length_c 4.194
_cell_angle_alpha 90.00
_cell_angle_beta 90.00
_cell_angle_gamma 90.00
loop_
_symmetry_equiv_pos_as_xyz
'x,y,z'
loop_
_atom_site_label
_atom_site_type_symbol
_atom_site_fract_x
_atom_site_fract_y
_atom_site_fract_z
Be1 Be 0.000 0.000 0.000
Rh1 Rh 0.000 0.500 0.000
Rh2 Rh 0.000 0.000 0.500
Rh3 Rh 0.500 0.000 0.000
In1 In 0.500 0.500 0.500
```

DFT formation energy: -2.95 kcal/mol of atoms
Crystal system: cubic
Symmetry: Pm-3m

No. 2
The following is a DFT calculation (PBE) of crystalline BeIn2Rh2 at its relaxed geometry.

CIF file:
```
data_BeIn2Rh2
_chemical_formula_sum 'Be2 In4 Rh4'
_symmetry_space_group_name_H-M 'P 1'
_symmetry_Int_Tables_number 1
_cell_length_a 6.197
_cell_length_b 6.197
_cell_length_c 4.265
_cell_angle_alpha 90.00
_cell_angle_beta 90.00
_cell_angle_gamma 90.00
loop_
_symmetry_equiv_pos_as_xyz
'x,y,z'
loop_
_atom_site_label
_atom_site_type_symbol
_atom_site_fract_x
_atom_site_fract_y
_atom_site_fract_z
Be1 Be 0.000 0.000 0.000
Be2 Be 0.500 0.500 0.000
Rh1 Rh 0.345 0.845 0.000
Rh2 Rh 0.845 0.655 0.000
Rh3 Rh 0.655 0.155 0.000
Rh4 Rh 0.155 0.345 0.000
In1 In 0.164 0.664 0.500
In2 In 0.664 0.836 0.500
In3 In 0.836 0.336 0.500
In4 In 0.336 0.164 0.500
```

DFT formation energy: -8.28 kcal/mol of atoms
Crystal system: tetragonal
Symmetry: P4/mbm

> Among the records above, which one has the lowest DFT formation energy?

BeIn2Rh2

> What is the DFT formation energy in the first record?

-2.95 kcal/mol of atoms